[1]
PBE-GGA PrTm2Tl, optimized geometry; VASP energy = -16.8 eV/f.u.; ΔE_f = -3.90 kcal/mol of atoms; Fermi-level density of states = 5.6 states/eV/cell
1.0
-0.060 0.219 4.811
0.792 -4.840 0.230
4.845 0.794 0.025
Pr Tl Tm
1 1 2
direct
0.500 0.500 0.500 Pr
0.500 0.000 0.000 Tl
0.000 0.000 0.500 Tm
0.000 0.500 0.000 Tm

[2]
PBE-GGA Pr3Tm2Tl3, optimized geometry; VASP energy = -32.5 eV/f.u.; ΔE_f = -6.06 kcal/mol of atoms; Fermi-level density of states = 9.4 states/eV/cell
1.0
-4.205 -1.183 -0.837
-0.052 -2.826 4.255
-1.335 10.398 3.824
Pr Tm Tl
3 2 3
direct
0.621 0.621 0.242 Pr
0.379 0.379 0.758 Pr
0.500 0.000 0.000 Pr
0.738 0.238 0.476 Tm
0.262 0.762 0.524 Tm
0.133 0.133 0.266 Tl
0.000 0.500 0.000 Tl
0.867 0.867 0.734 Tl

[3]
PBE-GGA Pr6TmTl2, optimized geometry; VASP energy = -39.3 eV/f.u.; ΔE_f = -3.51 kcal/mol of atoms; Fermi-level density of states = 10.6 states/eV/cell
1.0
-1.203 3.552 0.862
-6.871 -0.150 -0.379
-3.893 -1.999 11.399
Pr Tm Tl
6 1 2
direct
0.678 0.521 0.123 Pr
0.322 0.479 0.877 Pr
0.305 0.794 0.596 Pr
0.978 0.701 0.343 Pr
0.022 0.299 0.657 Pr
0.695 0.206 0.404 Pr
0.000 0.000 0.000 Tm
0.364 0.084 0.188 Tl
0.636 0.916 0.812 Tl

[4]
PBE-GGA Pr5TmTl6, optimized geometry; VASP energy = -47.1 eV/f.u.; ΔE_f = -8.67 kcal/mol of atoms; Fermi-level density of states = 9.5 states/eV/cell
1.0
-3.675 -3.545 2.162
-0.845 -3.348 -6.925
4.291 -7.097 2.908
Pr Tl Tm
5 6 1
direct
0.671 0.500 0.658 Pr
0.334 0.000 0.332 Pr
0.000 0.500 0.000 Pr
0.666 0.000 0.668 Pr
0.329 0.500 0.342 Pr
0.838 0.757 0.324 Tl
0.838 0.243 0.324 Tl
0.500 0.245 0.000 Tl
0.500 0.755 0.000 Tl
0.162 0.757 0.676 Tl
0.162 0.243 0.676 Tl
0.000 0.000 0.000 Tm

Number 1 is which compound?
PrTm2Tl